The following is a GGA-PBE calculation of an optimized crystal structure of Cs2NaMgTc, from the Alexandria database.

Values from the calculation:
The energy of formation is 980 meV/atom. The mass density is 2.34 Mg/m³. The value obtained for the total DFT energy (no corrections) is -2.02 eV/atom. For the spin magnetization, the calculation gives 2.99 μB/cell.

Cell: 7.4280 5.2836 7.4280 Å, 90.00 90.00 90.00°
Last column: nearest neighbours and their distance in Å.
Atoms (fractional coordinates):
Cs  0.0000  0.0000  0.5000  2 Mg 3.71
Cs  0.5000  0.0000  0.0000  2 Mg 3.71
Na  0.5000  0.5000  0.5000  8 Cs 4.56
Mg  0.0000  0.0000  0.0000  2 Tc 2.64
Tc  0.0000  0.5000  0.0000  2 Mg 2.64